# 1
Ho2TePd: relaxed, PBE.

Results
Total magnetization = 0.000 μB/atom
Volume = 411.3 Å³/cell
Polymorph energy (0 for the lowest one) = 0.0000 eV/atom
Formation energy from raw total energies = -1073 meV/atom

Cell: 3.9784 23.0507 4.4852 Å, 90.00 90.00 90.00°
With the nearest neighbours (Å) after each atom.
Space group Cmcm (No. 63)
One atom of each set of equivalent atoms:
Ho1 0.0000 0.0581 0.2500  6 Pd 3.02-3.03, 1 Te 3.17
Ho2 0.0000 0.3359 0.2500  1 Pd 2.85, 4 Te 3.08
Te1 0.0000 0.1954 0.2500  6 Ho 3.08-3.24
Pd1 0.0000 0.4596 0.2500  7 Ho 2.85-3.03, 2 Pd 2.91

---

# 2
MgAl2CuPt4: relaxed, PBE.

Results
Total magnetization = 0.000 μB/atom
Volume = 352.4 Å³/cell
Energy of formation = -800 meV per atom

Cell: 4.3624 4.3624 21.3803 Å, 90.00 90.00 120.00°
With the nearest neighbours (Å) after each atom.
Space group R-3m (No. 166, hexagonal axes)
One atom of each set of equivalent atoms:
Mg1 0.0000 0.0000 0.0000  8 Pt 2.68
Al1 0.0000 0.0000 0.2483  8 Pt 2.62-2.73
Cu1 0.0000 0.0000 0.5000  8 Pt 2.65-2.67
Pt1 0.0000 0.0000 0.1256  4 Al 2.62-2.66, 3 Cu 2.67, 1 Mg 2.68
Pt2 0.0000 0.0000 0.3762  1 Cu 2.65, 4 Al 2.68-2.73, 3 Mg 2.68

---

# 3
La4Ho2Er5: relaxed, PBE.

Results
Total magnetization = 0.000 μB/atom
Volume = 726.9 Å³/cell
Polymorph energy (0 for the lowest one) = 0.0000 eV/atom
Energy of formation = 50 meV per atom

Cell: 23.9958 3.6708 8.8774 Å, 90.00 111.62 90.00°
With the nearest neighbours (Å) after each atom.
Space group C2/m (No. 12)
One atom of each set of equivalent atoms:
La1 0.0404 0.0000 0.2092  5 La 3.50-3.67, 3 Er 3.54-3.58, 4 Ho 3.82-3.85
La2 0.1822 0.5000 0.3828  5 Er 3.50-3.79, 1 Ho 3.61, 6 La 3.64-3.67
Ho1 0.1113 0.5000 0.9469  6 Er 3.48-3.88, 5 La 3.61-3.85, 2 Ho 3.67
Er1 0.0000 0.5000 0.5000  6 Er 3.35-3.67, 4 La 3.58
Er2 0.1256 0.0000 0.6299  6 Er 3.35-3.67, 2 Ho 3.48, 3 La 3.50-3.54
Er3 0.2496 0.0000 0.1578  6 Er 3.36-3.67, 2 La 3.51, 2 Ho 3.65

---

# 4
Zn3Cu3Te2O12: relaxed, PBE.

Results
Total magnetization = 0.155 μB/atom
Volume = 919.3 Å³/cell
Formation energy from raw total energies = -952 meV/atom

Cell: 9.7233 9.7233 9.7233 Å, 90.00 90.00 90.00°
With the nearest neighbours (Å) after each atom.
Space group I2_13 (No. 199)
One atom of each set of equivalent atoms:
Zn1 0.0000 0.2500 0.9648  4 O 2.05-2.09
Cu1 0.0000 0.2500 0.4684  4 O 1.95-2.07
Te1 0.2462 0.2538 0.7462  6 O 1.97-1.99
O1 0.1057 0.3756 0.8267  1 Cu 1.95, 1 Te 1.97, 1 Zn 2.09
O2 0.1102 0.1304 0.3305  1 Te 1.99, 1 Zn 2.05, 1 Cu 2.07

---

# 5
V3CoRu2: relaxed, PBE.

Results
Total magnetization = 0.342 μB/atom
Volume = 78.9 Å³/cell
Energy of formation = -195 meV per atom

Cell: 3.0040 3.0040 8.7380 Å, 90.00 90.00 90.00°
With the nearest neighbours (Å) after each atom.
Space group P4/mmm (No. 123)
One atom of each set of equivalent atoms:
V1 0.0000 0.0000 0.0000  8 Ru 2.61
V2 0.0000 0.0000 0.3465  4 Co 2.51, 4 Ru 2.60, 1 V 2.68
Co1 0.5000 0.5000 0.5000  8 V 2.51
Ru1 0.5000 0.5000 0.1741  8 V 2.60-2.61, 1 Co 2.85

---

# 6
AgSe3: relaxed, PBE.

Results
Total magnetization = 0.000 μB/atom
Volume = 84.5 Å³/cell
Formation energy from raw total energies = 530 meV/atom

Cell: 4.3882 4.3882 4.3882 Å, 90.00 90.00 90.00°
With the nearest neighbours (Å) after each atom.
Space group Pm-3m (No. 221)
One atom of each set of equivalent atoms:
Ag1 0.0000 0.0000 0.0000  12 Se 3.10
Se1 0.0000 0.5000 0.5000  8 Se 3.10, 4 Ag 3.10